Entry 1:
LiMn2Tl, optimized geometry, DFT PBE-GGA; spin magnetization = 7.3 Bohr magnetons per cell; calculated formation energy = 1.768 eV per formula unit
1.0
3.0091 0.0000 0.0000
0.0000 4.1340 0.0000
0.0000 0.0000 5.5982
Li Tl Mn
1 1 2
Direct
0.5000 0.5000 0.7500
0.5000 0.5000 0.2500
0.0000 0.0000 0.5094
0.0000 0.0000 0.9906



Entry 2:
LiMnTl2, optimized geometry, DFT PBE-GGA; spin magnetization = 3.6 Bohr magnetons per cell; energy above the most stable polymorph in this dataset = 107 meV per atom; calculated formation energy = 0.911 eV per formula unit
1.0
-0.0861 1.6355 2.8782
-1.9346 -3.4421 1.8981
5.3027 -2.2027 1.4103
Li Mn Tl
1 1 2
Direct
0.0000 0.0000 0.4886
0.5000 0.5000 0.7734
0.5000 0.5000 0.2892
0.0000 0.0000 0.9488



Entry 3:
LiMnTl2, optimized geometry, DFT PBE-GGA; spin magnetization = 4.3 Bohr magnetons per cell; energy above the most stable polymorph in this dataset = 91 meV per atom; calculated formation energy = 0.847 eV per formula unit
1.0
-2.0850 2.1880 -8.7871
0.4518 0.0439 -9.2812
-2.6661 -1.1191 -8.8310
Mn Li Tl
1 1 2
Direct
0.7500 0.7500 0.7500
0.2500 0.2500 0.2500
0.0002 0.0002 0.0002
0.4998 0.4998 0.4998



Look up the calculated formation energy of the second one. 0.911 eV per formula unit